A geometry-optimized Nd8Sm3Tm2 structure. Source: Alexandria via LeMat-Bulk, functional GGA-PBE.

Values from the calculation:
**Offset from the most stable computed form**: 0 meV per atom
**Formation enthalpy at 0 K**: 0.1575 eV/atom

a = 6.2305 Å, b = 8.8806 Å, c = 8.8806 Å
α = 83.87°, β = 72.80°, γ = 72.80°
Fractional positions:
Nd (0.3302, 0.9159, 0.4282)
Tm (0.6438, 0.7124, 0.7124)
Nd (0.2118, 0.5554, 0.5554)
Sm (0.0000, 0.2455, 0.7545)
Nd (0.6698, 0.5718, 0.0841)
Tm (0.3562, 0.2876, 0.2876)
Nd (0.9496, 0.1525, 0.1525)
Sm (0.0000, 0.7545, 0.2455)
Sm (0.5000, 0.0000, 0.0000)
Nd (0.6698, 0.0841, 0.5718)
Nd (0.7882, 0.4446, 0.4446)
Nd (0.3302, 0.4282, 0.9159)
Nd (0.0504, 0.8475, 0.8475)